Here is an optimized crystal structure of LaSm4Co4 from the Alexandria database. Energies are from PBE.

Cell: 8.5210 8.5210 5.7523 Å, 90.00 90.00 90.00°
Fractional coordinates of all 18 atoms:
1 La 0.2500 0.2500 0.2500
2 La 0.7500 0.7500 0.7500
3 Sm 0.0603 0.6758 0.1350
4 Sm 0.1758 0.9397 0.6350
5 Sm 0.3242 0.5603 0.6350
6 Sm 0.4397 0.8242 0.1350
7 Sm 0.5603 0.1758 0.8650
8 Sm 0.6758 0.4397 0.3650
9 Sm 0.8242 0.0603 0.3650
10 Sm 0.9397 0.3242 0.8650
11 Co 0.0113 0.6128 0.6136
12 Co 0.1128 0.9887 0.1136
13 Co 0.3872 0.5113 0.1136
14 Co 0.4887 0.8872 0.6136
15 Co 0.5113 0.1128 0.3864
16 Co 0.6128 0.4887 0.8864
17 Co 0.8872 0.0113 0.8864
18 Co 0.9887 0.3872 0.3864

Summary:
The value obtained for the spin magnetization is 0.000 μB per atom. As for the space-group type: P4_2/n, No. 86. The energy of formation comes out at -11 kJ/mol of formula units.